Record 1
{"formula": "MnRh3Au", "functional": "PBE", "state": "optimized geometry", "ef_ev_per_atom": 2.22, "magmom_total_mub_per_fu": 1.12, "e_tot_ev_per_cell": -23.38, "e_above_lowest_polymorph_mev_per_atom": 1330.2, "dos_ef_per_ev_fu": 16.719, "lattice_angstrom": [[4.814, 0.000, 0.000], [0.000, 4.814, 0.000], [0.000, 0.000, 4.814]], "species": ["Rh", "Rh", "Rh", "Mn", "Au"], "frac_coords": [[0.000, 0.000, 0.500], [0.000, 0.500, 0.000], [0.500, 0.000, 0.000], [0.500, 0.500, 0.500], [0.000, 0.000, 0.000]]}

***

Record 2
{"formula": "Mn2RhAu", "functional": "PBE", "state": "optimized geometry", "ef_ev_per_atom": 0.09, "magmom_total_mub_per_fu": 8.25, "e_tot_ev_per_cell": -28.61, "dos_ef_per_ev_fu": 3.927, "lattice_angstrom": [[4.615, -0.096, 0.070], [3.718, 2.735, 0.070], [0.958, 0.303, 4.791]], "species": ["Au", "Rh", "Mn", "Mn"], "frac_coords": [[0.250, 0.250, 0.250], [0.750, 0.750, 0.750], [0.496, 0.496, 0.510], [0.004, 0.004, 0.990]]}

***

Record 3
{"formula": "MnRh2Au", "functional": "PBE", "state": "optimized geometry", "ef_ev_per_atom": 0.01, "magmom_total_mub_per_fu": 2.84, "e_tot_ev_per_cell": -27.11, "dos_ef_per_ev_fu": 4.776, "lattice_angstrom": [[3.815, 0.000, 0.000], [0.000, 2.838, 0.006], [0.000, 2.817, 5.596]], "species": ["Au", "Rh", "Rh", "Mn"], "frac_coords": [[0.000, 0.496, 0.504], [0.500, 0.270, 0.229], [0.000, 0.000, 0.001], [0.500, 0.734, 0.766]]}

***

Record 4
{"formula": "MnRhAu2", "functional": "PBE", "state": "optimized geometry", "ef_ev_per_atom": 0.02, "magmom_total_mub_per_fu": 4.72, "e_tot_ev_per_cell": -23.01, "dos_ef_per_ev_fu": 2.450, "lattice_angstrom": [[4.726, -0.003, -0.015], [-1.409, 4.512, -0.015], [0.010, 0.013, 3.058]], "species": ["Au", "Au", "Mn", "Rh"], "frac_coords": [[0.000, 0.000, 0.000], [0.500, 0.500, 0.000], [0.500, 0.000, 0.500], [0.000, 0.500, 0.500]]}

***

Record 5
{"formula": "Mn6RhAu12", "functional": "PBE", "state": "optimized geometry", "ef_ev_per_atom": -0.01, "magmom_total_mub_per_fu": 25.46, "e_tot_ev_per_cell": -101.98, "dos_ef_per_ev_fu": 8.447, "lattice_angstrom": [[6.907, -0.279, 0.270], [0.249, 6.908, 0.270], [-0.301, -0.279, 6.906]], "species": ["Au", "Au", "Au", "Au", "Au", "Au", "Au", "Au", "Au", "Au", "Au", "Au", "Mn", "Mn", "Mn", "Mn", "Mn", "Mn", "Rh"], "frac_coords": [[0.026, 0.154, 0.370], [0.846, 0.630, 0.974], [0.195, 0.468, 0.573], [0.154, 0.370, 0.026], [0.573, 0.195, 0.468], [0.532, 0.427, 0.805], [0.805, 0.532, 0.427], [0.974, 0.846, 0.630], [0.468, 0.573, 0.195], [0.370, 0.026, 0.154], [0.630, 0.974, 0.846], [0.427, 0.805, 0.532], [0.263, 0.727, 0.887], [0.887, 0.263, 0.727], [0.273, 0.113, 0.737], [0.113, 0.737, 0.273], [0.727, 0.887, 0.263], [0.737, 0.273, 0.113], [0.000, 0.000, 0.000]]}

***

Record 6
{"formula": "Mn2RhAu", "functional": "PBE", "state": "optimized geometry", "ef_ev_per_atom": 0.07, "magmom_total_mub_per_fu": 8.43, "e_tot_ev_per_cell": -28.70, "dos_ef_per_ev_fu": 3.260, "lattice_angstrom": [[2.971, 0.000, 0.000], [0.000, 3.868, 0.000], [0.000, 0.000, 5.469]], "species": ["Rh", "Mn", "Mn", "Au"], "frac_coords": [[0.000, 0.000, 0.461], [0.000, 0.000, 0.989], [0.500, 0.500, 0.279], [0.500, 0.500, 0.771]]}